A plane-wave DFT calculation with PBE was carried out for YRe2PdO after structural relaxation.

For the density of states at the Fermi level, the calculation gives 1.4642 states/eV per atom. The value obtained for the energy relative to the elements, uncorrected is 1.34 eV per atom. The value obtained for the total magnetic moment is 0.01 μB per formula unit. Its total energy is -6.9641 eV per atom.

The space group is P4/mmm (No. 123) and the conventional cell measures 4.9049, 4.9049 and 3.9599 Å, with angles of 90.00, 90.00 and 90.00 degrees. The inequivalent atoms are Y at (0.0000, 0.0000, 0.0000), Re at (0.0000, 0.5000, 0.5000), Pd at (0.5000, 0.5000, 0.5000) and O at (0.5000, 0.5000, 0.0000).

A plane-wave DFT calculation with PBE was carried out for Zr2RePdO after structural relaxation.

For the density of states at the Fermi level, the calculation gives 1.2448 states/eV per atom. The value obtained for the energy relative to the elements, uncorrected is 0.97 eV per atom. The value obtained for the total magnetic moment is 0.00 μB per formula unit. Its total energy is -6.9696 eV per atom.

The space group is P4/mmm (No. 123) and the conventional cell measures 5.0599, 5.0599 and 4.6784 Å, with angles of 90.00, 90.00 and 90.00 degrees. The inequivalent atoms are Zr at (0.0000, 0.5000, 0.0000), Re at (0.0000, 0.0000, 0.0000), Pd at (0.0000, 0.0000, 0.5000) and O at (0.5000, 0.5000, 0.5000).

A plane-wave DFT calculation with PBE was carried out for PdRhO4 after structural relaxation.

For the density of states at the Fermi level, the calculation gives 0.4887 states/eV per atom. The value obtained for the energy relative to the elements, uncorrected is -0.51 eV per atom. The energy above the most stable polymorph in this dataset comes out at 0 meV/atom. The value obtained for the total magnetic moment is 0.89 μB per formula unit. Its total energy is -5.9077 eV per atom.

The space group is P2_1/c (No. 14) and the conventional cell measures 5.6526, 4.4423 and 5.6492 Å, with angles of 90.00, 112.68 and 90.00 degrees. The inequivalent atoms are Pd at (0.0000, 0.0000, 0.0000), Rh at (0.5000, 0.0000, 0.5000), O at (0.1805, 0.2403, 0.3252) and O at (0.3330, 0.7347, 0.6714).

A plane-wave DFT calculation with PBE was carried out for PdRhO3 after structural relaxation.

For the density of states at the Fermi level, the calculation gives 1.0019 states/eV per atom. The value obtained for the energy relative to the elements, uncorrected is -0.42 eV per atom. The value obtained for the total magnetic moment is 0.00 μB per formula unit. Its total energy is -5.9027 eV per atom.

The space group is C2/m (No. 12) and the conventional cell measures 5.3098, 9.0220 and 5.7313 Å, with angles of 90.00, 115.63 and 90.00 degrees. The inequivalent atoms are Pd at (0.1618, 0.0000, 0.3835), Rh at (0.0000, 0.3308, 0.0000), O at (0.0233, 0.5000, 0.7708) and O at (0.0845, 0.1819, 0.7910).

A plane-wave DFT calculation with PBE was carried out for Pd2RhO after structural relaxation.

For the density of states at the Fermi level, the calculation gives 1.1506 states/eV per atom. The value obtained for the energy relative to the elements, uncorrected is 0.59 eV per atom. The value obtained for the total magnetic moment is 1.81 μB per formula unit. Its total energy is -5.0826 eV per atom.

The space group is I-42d (No. 122) and the conventional cell measures 4.7798, 4.7798 and 12.2836 Å, with angles of 90.00, 90.00 and 90.00 degrees. The inequivalent atoms are Pd at (0.1210, 0.2500, 0.1250), Rh at (0.0000, 0.0000, 0.5000) and O at (0.0000, 0.0000, 0.0000).

A plane-wave DFT calculation with PBE was carried out for Pd3RhO after structural relaxation.

For the density of states at the Fermi level, the calculation gives 1.6780 states/eV per atom. The value obtained for the energy relative to the elements, uncorrected is 1.64 eV per atom. The value obtained for the total magnetic moment is 1.94 μB per formula unit. Its total energy is -3.9385 eV per atom.

The space group is Pm-3m (No. 221) and the conventional cell measures 4.7993, 4.7993 and 4.7993 Å, with angles of 90.00, 90.00 and 90.00 degrees. The inequivalent atoms are Pd at (0.0000, 0.0000, 0.5000), Rh at (0.0000, 0.0000, 0.0000) and O at (0.5000, 0.5000, 0.5000).

A plane-wave DFT calculation with PBE was carried out for PdRhO3 after structural relaxation.

For the density of states at the Fermi level, the calculation gives 1.6834 states/eV per atom. The value obtained for the energy relative to the elements, uncorrected is 0.13 eV per atom. The value obtained for the total magnetic moment is 0.00 μB per formula unit. Its total energy is -5.3568 eV per atom.

The space group is Pm-3m (No. 221) and the conventional cell measures 3.8607, 3.8607 and 3.8607 Å, with angles of 90.00, 90.00 and 90.00 degrees. The inequivalent atoms are Pd at (0.0000, 0.0000, 0.0000), Rh at (0.5000, 0.5000, 0.5000) and O at (0.0000, 0.5000, 0.5000).

A plane-wave DFT calculation with PBE was carried out for PdRhO4 after structural relaxation.

For the density of states at the Fermi level, the calculation gives 0.8182 states/eV per atom. The value obtained for the energy relative to the elements, uncorrected is -0.50 eV per atom. The energy above the most stable polymorph in this dataset comes out at 14 meV/atom. The value obtained for the total magnetic moment is 0.26 μB per formula unit. Its total energy is -5.8938 eV per atom.

The space group is I4_1md (No. 109) and the conventional cell measures 6.4793, 6.4793 and 6.3412 Å, with angles of 90.00, 90.00 and 90.00 degrees. The inequivalent atoms are Pd at (0.0000, 0.0000, 0.0000), Rh at (0.0000, 0.0000, 0.4991), O at (0.0000, 0.3035, 0.5037) and O at (0.0000, 0.3096, 0.9965).

A plane-wave DFT calculation with PBE was carried out for PdRh2O after structural relaxation.

For the density of states at the Fermi level, the calculation gives 1.7719 states/eV per atom. The value obtained for the energy relative to the elements, uncorrected is 0.37 eV per atom. The value obtained for the total magnetic moment is 0.00 μB per formula unit. Its total energy is -5.8482 eV per atom.

The space group is I-42d (No. 122) and the conventional cell measures 4.6767, 4.6767 and 12.2589 Å, with angles of 90.00, 90.00 and 90.00 degrees. The inequivalent atoms are Pd at (0.0000, 0.0000, 0.0000), Rh at (0.1099, 0.2500, 0.6250) and O at (0.0000, 0.0000, 0.5000).

A plane-wave DFT calculation with PBE was carried out for PdRhO3 after structural relaxation.

For the density of states at the Fermi level, the calculation gives 0.9636 states/eV per atom. The value obtained for the energy relative to the elements, uncorrected is 0.52 eV per atom. The value obtained for the total magnetic moment is 3.81 μB per formula unit. Its total energy is -4.9633 eV per atom.

The space group is Pm-3m (No. 221) and the conventional cell measures 3.9142, 3.9142 and 3.9142 Å, with angles of 90.00, 90.00 and 90.00 degrees. The inequivalent atoms are Pd at (0.0000, 0.0000, 0.0000), Rh at (0.5000, 0.5000, 0.5000) and O at (0.0000, 0.0000, 0.5000).

A plane-wave DFT calculation with PBE was carried out for Pd2Rh2O after structural relaxation.

For the density of states at the Fermi level, the calculation gives 1.8326 states/eV per atom. The value obtained for the energy relative to the elements, uncorrected is 0.45 eV per atom. The energy above the most stable polymorph in this dataset comes out at 0 meV/atom. The value obtained for the total magnetic moment is 0.23 μB per formula unit. Its total energy is -5.5607 eV per atom.

The space group is P4/mbm (No. 127) and the conventional cell measures 5.5587, 5.5587 and 4.7133 Å, with angles of 90.00, 90.00 and 90.00 degrees. The inequivalent atoms are Pd at (0.1782, 0.3218, 0.0000), Rh at (0.1621, 0.6621, 0.5000) and O at (0.0000, 0.0000, 0.0000).

Copy entry 5 word for word.
A plane-wave DFT calculation with PBE was carried out for Pd2RhO after structural relaxation.

For the density of states at the Fermi level, the calculation gives 1.1506 states/eV per atom. The value obtained for the energy relative to the elements, uncorrected is 0.59 eV per atom. The value obtained for the total magnetic moment is 1.81 μB per formula unit. Its total energy is -5.0826 eV per atom.

The space group is I-42d (No. 122) and the conventional cell measures 4.7798, 4.7798 and 12.2836 Å, with angles of 90.00, 90.00 and 90.00 degrees. The inequivalent atoms are Pd at (0.1210, 0.2500, 0.1250), Rh at (0.0000, 0.0000, 0.5000) and O at (0.0000, 0.0000, 0.0000).